No. 1
Material: CsFe2Br5
Method: DFT, PBE
State: relaxed

M_tot ... 8.00 μB/f.u.
Final energy ... -3.9659 eV/atom

a = 8.637 Å, b = 5.732 Å, c = 11.552 Å
α = 90.00°, β = 108.01°, γ = 90.00°
Space group P2_1/m (No. 11)
Inequivalent atoms, fractional coordinates:
Cs  0.001  0.250  0.228 [2 per cell]
Fe  0.387  0.750  0.550 [2 per cell]
Fe  0.481  0.750  0.198 [2 per cell]
Br  0.107  0.750  0.450 [2 per cell]
Br  0.193  0.750  0.111 [2 per cell]
Br  0.289  0.250  0.870 [2 per cell]
Br  0.408  0.250  0.564 [2 per cell]
Br  0.488  0.250  0.231 [2 per cell]

No. 2
Material: KSmGaTe3
Method: DFT, PBE
State: relaxed

M_tot ... 0.01 μB/f.u.
Final energy ... -3.9914 eV/atom

a = 4.838 Å, b = 15.121 Å, c = 11.917 Å
α = 90.00°, β = 90.00°, γ = 90.00°
Space group Cmcm (No. 63)
Inequivalent atoms, fractional coordinates:
K  0.000  0.247  0.250 [4 per cell]
Sm  0.000  0.000  0.000 [4 per cell]
Ga  0.000  0.477  0.750 [4 per cell]
Te  0.000  0.067  0.750 [4 per cell]
Te  0.000  0.370  0.563 [8 per cell]

No. 3
Material: LaNiSn2Au
Method: DFT, PBE
State: relaxed

M_tot ... 0.01 μB/f.u.
Final energy ... -4.9983 eV/atom

a = 4.607 Å, b = 4.607 Å, c = 10.557 Å
α = 90.00°, β = 90.00°, γ = 90.00°
Space group P4/nmm (No. 129, origin choice 2)
Inequivalent atoms, fractional coordinates:
La  0.250  0.250  0.247 [2 per cell]
Ni  0.250  0.250  0.888 [2 per cell]
Sn  0.250  0.250  0.653 [2 per cell]
Sn  0.250  0.750  0.000 [2 per cell]
Au  0.250  0.750  0.500 [2 per cell]

No. 4
Material: Sc2CuGe2
Method: DFT, PBE
State: relaxed

M_tot ... 0.01 μB/f.u.
Polymorph energy (0 for the lowest one) ... 0.000 eV per formula unit
Final energy ... -5.1730 eV/atom

a = 3.748 Å, b = 3.748 Å, c = 13.214 Å
α = 90.00°, β = 90.00°, γ = 90.00°
Space group I4/mmm (No. 139)
Inequivalent atoms, fractional coordinates:
Sc  0.000  0.000  0.099 [4 per cell]
Cu  0.000  0.000  0.500 [2 per cell]
Ge  0.000  0.500  0.250 [4 per cell]